w.
{
  "formula": "CaGaP2S",
  "functional": "GGA-PBE",
  "state": "optimized geometry",
  "crystal_system": "tetragonal",
  "spacegroup": "P4/mmm, No. 123",
  "lattice": [[4.684, 0.000, 0.000], [0.000, 4.684, 0.000], [0.000, 0.000, 5.012]],
  "species": ["Ca", "Ga", "P", "P", "S"],
  "frac_coords": [[0.000, 0.000, 0.000], [0.500, 0.500, 0.500], [0.000, 0.500, 0.500], [0.500, 0.000, 0.500], [0.500, 0.500, 0.000]]
}



x.
{
  "formula": "CaGaP2S",
  "functional": "GGA-PBE",
  "state": "optimized geometry",
  "crystal_system": "tetragonal",
  "spacegroup": "P4/mmm, No. 123",
  "lattice": [[5.314, 0.000, 0.000], [0.000, 5.314, 0.000], [0.000, 0.000, 5.206]],
  "species": ["Ca", "Ga", "P", "P", "S"],
  "frac_coords": [[0.000, 0.000, 0.000], [0.500, 0.500, 0.500], [0.000, 0.500, 0.000], [0.500, 0.000, 0.000], [0.000, 0.000, 0.500]]
}



Short version: w, x, most stable first.



w.
{
  "formula": "CaPaGa4",
  "functional": "GGA-PBE",
  "state": "optimized geometry",
  "crystal_system": "orthorhombic",
  "spacegroup": "Pmmm, No. 47",
  "lattice": [[3.474, 0.000, 0.000], [0.000, 4.501, 0.000], [0.000, 0.000, 7.918]],
  "species": ["Ca", "Pa", "Ga", "Ga", "Ga", "Ga"],
  "frac_coords": [[0.000, 0.000, 0.000], [0.000, 0.500, 0.500], [0.500, 0.000, 0.336], [0.500, 0.000, 0.664], [0.500, 0.500, 0.168], [0.500, 0.500, 0.832]]
}



x.
{
  "formula": "CaPaGa4",
  "functional": "GGA-PBE",
  "state": "optimized geometry",
  "crystal_system": "cubic",
  "spacegroup": "F-43m, No. 216",
  "lattice": [[0.000, 3.922, 3.922], [3.922, 0.000, 3.922], [3.922, 3.922, 0.000]],
  "species": ["Ca", "Pa", "Ga", "Ga", "Ga", "Ga"],
  "frac_coords": [[0.000, 0.000, 0.000], [0.750, 0.750, 0.750], [0.376, 0.376, 0.376], [0.376, 0.376, 0.873], [0.376, 0.873, 0.376], [0.873, 0.376, 0.376]]
}



Short version: w, x, most stable first.



w.
{
  "formula": "Ca3GaPb",
  "functional": "GGA-PBE",
  "state": "optimized geometry",
  "crystal_system": "cubic",
  "spacegroup": "Pm-3m, No. 221",
  "lattice": [[5.672, 0.000, 0.000], [0.000, 5.672, 0.000], [0.000, 0.000, 5.672]],
  "species": ["Ca", "Ca", "Ca", "Ga", "Pb"],
  "frac_coords": [[0.000, 0.000, 0.500], [0.000, 0.500, 0.000], [0.500, 0.000, 0.000], [0.000, 0.000, 0.000], [0.500, 0.500, 0.500]]
}



x.
{
  "formula": "Ca3GaPb",
  "functional": "GGA-PBE",
  "state": "optimized geometry",
  "crystal_system": "monoclinic",
  "spacegroup": "C2/m, No. 12",
  "lattice": [[8.709, -1.972, 0.000], [8.709, 1.972, 0.000], [-1.234, 0.000, 9.203]],
  "species": ["Ca", "Ca", "Ca", "Ca", "Ca", "Ca", "Ga", "Ga", "Pb", "Pb"],
  "frac_coords": [[0.051, 0.051, 0.188], [0.250, 0.250, 0.813], [0.394, 0.394, 0.433], [0.606, 0.606, 0.567], [0.750, 0.750, 0.187], [0.949, 0.949, 0.812], [0.211, 0.211, 0.429], [0.789, 0.789, 0.571], [0.393, 0.393, 0.084], [0.607, 0.607, 0.916]]
}



y.
{
  "formula": "Ca3GaPb",
  "functional": "GGA-PBE",
  "state": "optimized geometry",
  "crystal_system": "cubic",
  "spacegroup": "Pm-3m, No. 221",
  "lattice": [[5.980, 0.000, 0.000], [0.000, 5.980, 0.000], [0.000, 0.000, 5.980]],
  "species": ["Ca", "Ca", "Ca", "Ga", "Pb"],
  "frac_coords": [[0.000, 0.000, 0.500], [0.000, 0.500, 0.000], [0.500, 0.000, 0.000], [0.500, 0.500, 0.500], [0.000, 0.000, 0.000]]
}



Short version: x, w, y, most stable first.



w.
{
  "formula": "Ca2Ga6Pd",
  "functional": "GGA-PBE",
  "state": "optimized geometry",
  "crystal_system": "trigonal",
  "spacegroup": "P-3m1, No. 164",
  "lattice": [[5.909, 0.000, 0.000], [-2.954, 5.117, 0.000], [0.000, 0.000, 5.861]],
  "species": ["Ca", "Ca", "Ga", "Ga", "Ga", "Ga", "Ga", "Ga", "Pd"],
  "frac_coords": [[0.333, 0.667, 0.356], [0.667, 0.333, 0.644], [0.174, 0.349, 0.829], [0.174, 0.826, 0.829], [0.349, 0.174, 0.171], [0.651, 0.826, 0.829], [0.826, 0.174, 0.171], [0.826, 0.651, 0.171], [0.000, 0.000, 0.500]]
}



x.
{
  "formula": "Ca2Ga6Pd",
  "functional": "GGA-PBE",
  "state": "optimized geometry",
  "crystal_system": "monoclinic",
  "spacegroup": "C2/m, No. 12",
  "lattice": [[5.200, -2.986, 0.000], [5.200, 2.986, 0.000], [-1.707, 0.000, 5.742]],
  "species": ["Ca", "Ca", "Ga", "Ga", "Ga", "Ga", "Ga", "Ga", "Pd"],
  "frac_coords": [[0.146, 0.146, 0.344], [0.854, 0.854, 0.656], [0.090, 0.642, 0.171], [0.358, 0.910, 0.829], [0.379, 0.379, 0.822], [0.621, 0.621, 0.178], [0.642, 0.090, 0.171], [0.910, 0.358, 0.829], [0.500, 0.500, 0.500]]
}



Short version: w, x, most stable first.



w.
{
  "formula": "Ca2Ga4Pd3",
  "functional": "GGA-PBE",
  "state": "optimized geometry",
  "crystal_system": "orthorhombic",
  "spacegroup": "Fmmm, No. 69",
  "lattice": [[0.000, 4.864, 6.423], [2.797, 0.000, 6.423], [2.797, 4.864, 0.000]],
  "species": ["Ca", "Ca", "Ga", "Ga", "Ga", "Ga", "Pd", "Pd", "Pd"],
  "frac_coords": [[0.130, 0.130, 0.870], [0.870, 0.870, 0.130], [0.162, 0.514, 0.486], [0.486, 0.838, 0.162], [0.514, 0.162, 0.838], [0.838, 0.486, 0.514], [0.000, 0.000, 0.500], [0.500, 0.500, 0.000], [0.500, 0.500, 0.500]]
}



x.
{
  "formula": "Ca2Ga4Pd3",
  "functional": "GGA-PBE",
  "state": "optimized geometry",
  "crystal_system": "orthorhombic",
  "spacegroup": "Cmce, No. 64",
  "lattice": [[2.844, -7.643, 0.000], [2.844, 7.643, 0.000], [0.000, 0.000, 7.814]],
  "species": ["Ca", "Ca", "Ca", "Ca", "Ga", "Ga", "Ga", "Ga", "Ga", "Ga", "Ga", "Ga", "Pd", "Pd", "Pd", "Pd", "Pd", "Pd"],
  "frac_coords": [[0.108, 0.892, 0.901], [0.392, 0.608, 0.401], [0.608, 0.392, 0.599], [0.892, 0.108, 0.099], [0.183, 0.817, 0.515], [0.187, 0.313, 0.750], [0.313, 0.187, 0.250], [0.317, 0.683, 0.015], [0.683, 0.317, 0.985], [0.687, 0.813, 0.750], [0.813, 0.687, 0.250], [0.817, 0.183, 0.485], [0.000, 0.000, 0.500], [0.018, 0.482, 0.750], [0.482, 0.018, 0.250], [0.500, 0.500, 0.000], [0.518, 0.982, 0.750], [0.982, 0.518, 0.250]]
}



Short version: x, w, most stable first.



w.
{
  "formula": "CaGaPd4",
  "functional": "GGA-PBE",
  "state": "optimized geometry",
  "crystal_system": "cubic",
  "spacegroup": "F-43m, No. 216",
  "lattice": [[0.000, 3.784, 3.784], [3.784, 0.000, 3.784], [3.784, 3.784, 0.000]],
  "species": ["Ca", "Ga", "Pd", "Pd", "Pd", "Pd"],
  "frac_coords": [[0.000, 0.000, 0.000], [0.250, 0.250, 0.250], [0.127, 0.624, 0.624], [0.624, 0.127, 0.624], [0.624, 0.624, 0.127], [0.624, 0.624, 0.624]]
}



x.
{
  "formula": "CaGaPd4",
  "functional": "GGA-PBE",
  "state": "optimized geometry",
  "crystal_system": "orthorhombic",
  "spacegroup": "Pmma, No. 51",
  "lattice": [[7.841, 0.000, 0.000], [0.000, 3.921, 0.000], [0.000, 0.000, 6.974]],
  "species": ["Ca", "Ca", "Ga", "Ga", "Pd", "Pd", "Pd", "Pd", "Pd", "Pd", "Pd", "Pd"],
  "frac_coords": [[0.250, 0.000, 0.143], [0.750, 0.000, 0.857], [0.250, 0.000, 0.715], [0.750, 0.000, 0.285], [0.000, 0.000, 0.500], [0.057, 0.500, 0.808], [0.250, 0.500, 0.454], [0.443, 0.500, 0.808], [0.500, 0.000, 0.500], [0.557, 0.500, 0.192], [0.750, 0.500, 0.546], [0.943, 0.500, 0.192]]
}



Short version: x, w, most stable first.



w.
{
  "formula": "Ca2Ga2Pd",
  "functional": "GGA-PBE",
  "state": "optimized geometry",
  "crystal_system": "monoclinic",
  "spacegroup": "C2/m, No. 12",
  "lattice": [[5.314, -2.265, 0.000], [5.314, 2.265, 0.000], [-4.907, 0.000, 9.596]],
  "species": ["Ca", "Ca", "Ca", "Ca", "Ga", "Ga", "Ga", "Ga", "Pd", "Pd"],
  "frac_coords": [[0.004, 0.004, 0.330], [0.194, 0.194, 0.112], [0.806, 0.806, 0.888], [0.996, 0.996, 0.670], [0.347, 0.347, 0.440], [0.493, 0.493, 0.116], [0.507, 0.507, 0.884], [0.653, 0.653, 0.560], [0.277, 0.277, 0.650], [0.723, 0.723, 0.350]]
}



x.
{
  "formula": "Ca2Ga2Pd",
  "functional": "GGA-PBE",
  "state": "optimized geometry",
  "crystal_system": "tetragonal",
  "spacegroup": "P4/mbm, No. 127",
  "lattice": [[6.919, 0.000, 0.000], [0.000, 6.919, 0.000], [0.000, 0.000, 4.707]],
  "species": ["Ca", "Ca", "Ca", "Ca", "Ga", "Ga", "Ga", "Ga", "Pd", "Pd"],
  "frac_coords": [[0.177, 0.323, 0.000], [0.323, 0.823, 0.000], [0.677, 0.177, 0.000], [0.823, 0.677, 0.000], [0.132, 0.632, 0.500], [0.368, 0.132, 0.500], [0.632, 0.868, 0.500], [0.868, 0.368, 0.500], [0.000, 0.000, 0.500], [0.500, 0.500, 0.500]]
}



y.
{
  "formula": "Ca2Ga2Pd",
  "functional": "GGA-PBE",
  "state": "optimized geometry",
  "crystal_system": "tetragonal",
  "spacegroup": "P4/mbm, No. 127",
  "lattice": [[8.461, 0.000, 0.000], [0.000, 8.461, 0.000], [0.000, 0.000, 3.406]],
  "species": ["Ca", "Ca", "Ca", "Ca", "Ga", "Ga", "Ga", "Ga", "Pd", "Pd"],
  "frac_coords": [[0.193, 0.307, 0.000], [0.307, 0.807, 0.000], [0.693, 0.193, 0.000], [0.807, 0.693, 0.000], [0.104, 0.604, 0.500], [0.396, 0.104, 0.500], [0.604, 0.896, 0.500], [0.896, 0.396, 0.500], [0.000, 0.000, 0.000], [0.500, 0.500, 0.000]]
}



Short version: w, x, y, most stable first.



w.
{
  "formula": "Ca2Ga2Pd",
  "functional": "GGA-PBE",
  "state": "optimized geometry",
  "crystal_system": "tetragonal",
  "spacegroup": "I4/mmm, No. 139",
  "lattice": [[-1.849, 1.849, 8.868], [1.849, -1.849, 8.868], [1.849, 1.849, -8.868]],
  "species": ["Ca", "Ca", "Ga", "Ga", "Pd"],
  "frac_coords": [[0.096, 0.096, 0.000], [0.904, 0.904, 0.000], [0.250, 0.750, 0.500], [0.750, 0.250, 0.500], [0.500, 0.500, 0.000]]
}



x.
{
  "formula": "Ca2Ga2Pd",
  "functional": "GGA-PBE",
  "state": "optimized geometry",
  "crystal_system": "orthorhombic",
  "spacegroup": "Amm2, No. 38",
  "lattice": [[3.843, 0.000, 0.000], [0.000, 2.143, 6.950], [0.000, -2.143, 6.950]],
  "species": ["Ca", "Ca", "Ga", "Ga", "Pd"],
  "frac_coords": [[0.000, 0.000, 0.000], [0.000, 0.249, 0.249], [0.500, 0.622, 0.622], [0.500, 0.823, 0.823], [0.500, 0.428, 0.428]]
}



Short version: x, w, most stable first.



w.
{
  "formula": "CaGa4Pd6",
  "functional": "GGA-PBE",
  "state": "optimized geometry",
  "crystal_system": "hexagonal",
  "spacegroup": "P-6m2, No. 187",
  "lattice": [[7.388, 0.000, 0.000], [-3.694, 6.398, 0.000], [0.000, 0.000, 3.904]],
  "species": ["Ca", "Ga", "Ga", "Ga", "Ga", "Pd", "Pd", "Pd", "Pd", "Pd", "Pd"],
  "frac_coords": [[0.000, 0.000, 0.000], [0.333, 0.667, 0.000], [0.399, 0.199, 0.500], [0.801, 0.199, 0.500], [0.801, 0.601, 0.500], [0.198, 0.397, 0.500], [0.198, 0.802, 0.500], [0.533, 0.066, 0.000], [0.533, 0.467, 0.000], [0.603, 0.802, 0.500], [0.934, 0.467, 0.000]]
}



x.
{
  "formula": "CaGa4Pd6",
  "functional": "GGA-PBE",
  "state": "optimized geometry",
  "crystal_system": "tetragonal",
  "spacegroup": "I-42m, No. 121",
  "lattice": [[-3.175, 3.175, 4.956], [3.175, -3.175, 4.956], [3.175, 3.175, -4.956]],
  "species": ["Ca", "Ga", "Ga", "Ga", "Ga", "Pd", "Pd", "Pd", "Pd", "Pd", "Pd"],
  "frac_coords": [[0.000, 0.000, 0.000], [0.230, 0.230, 0.657], [0.426, 0.770, 0.000], [0.574, 0.574, 0.343], [0.770, 0.426, 0.000], [0.000, 0.500, 0.500], [0.115, 0.524, 0.000], [0.476, 0.476, 0.591], [0.500, 0.000, 0.500], [0.524, 0.115, 0.000], [0.885, 0.885, 0.409]]
}



Short version: w, x, most stable first.



w.
{
  "formula": "CaGa2TePd",
  "functional": "GGA-PBE",
  "state": "optimized geometry",
  "crystal_system": "tetragonal",
  "spacegroup": "P4/mmm, No. 123",
  "lattice": [[4.826, 0.000, 0.000], [0.000, 4.826, 0.000], [0.000, 0.000, 5.643]],
  "species": ["Ca", "Ga", "Ga", "Te", "Pd"],
  "frac_coords": [[0.000, 0.000, 0.000], [0.000, 0.500, 0.500], [0.500, 0.000, 0.500], [0.500, 0.500, 0.000], [0.000, 0.000, 0.500]]
}



x.
{
  "formula": "CaGa2TePd",
  "functional": "GGA-PBE",
  "state": "optimized geometry",
  "crystal_system": "tetragonal",
  "spacegroup": "P4/mmm, No. 123",
  "lattice": [[5.476, 0.000, 0.000], [0.000, 5.476, 0.000], [0.000, 0.000, 5.753]],
  "species": ["Ca", "Ga", "Ga", "Te", "Pd"],
  "frac_coords": [[0.000, 0.000, 0.000], [0.000, 0.500, 0.500], [0.500, 0.000, 0.500], [0.000, 0.000, 0.500], [0.500, 0.500, 0.000]]
}



Short version: w, x, most stable first.



w.
{
  "formula": "CaPmGa4",
  "functional": "GGA-PBE",
  "state": "optimized geometry",
  "crystal_system": "cubic",
  "spacegroup": "F-43m, No. 216",
  "lattice": [[0.000, 3.965, 3.965], [3.965, 0.000, 3.965], [3.965, 3.965, 0.000]],
  "species": ["Ca", "Pm", "Ga", "Ga", "Ga", "Ga"],
  "frac_coords": [[0.000, 0.000, 0.000], [0.250, 0.250, 0.250], [0.126, 0.625, 0.625], [0.625, 0.126, 0.625], [0.625, 0.625, 0.126], [0.625, 0.625, 0.625]]
}



x.
{
  "formula": "CaPmGa4",
  "functional": "GGA-PBE",
  "state": "optimized geometry",
  "crystal_system": "orthorhombic",
  "spacegroup": "Immm, No. 71",
  "lattice": [[-2.144, 3.704, 4.305], [2.144, -3.704, 4.305], [2.144, 3.704, -4.305]],
  "species": ["Ca", "Pm", "Ga", "Ga", "Ga", "Ga"],
  "frac_coords": [[0.000, 0.000, 0.000], [0.500, 0.500, 0.000], [0.093, 0.762, 0.332], [0.430, 0.762, 0.668], [0.570, 0.238, 0.332], [0.907, 0.238, 0.668]]
}



Short version: x, w, most stable first.